Record 1
Entry from Alexandria: a relaxed structure of AcAg2BiTe4 (GGA-PBE).

Lattice parameters (Å, degrees): 7.821 8.040 8.459 90.00 90.00 90.00
Space group I222 (No. 23)
Unique sites:
Ac 0.000 0.000 0.000
Ag 0.000 0.500 0.173
Bi 0.000 0.000 0.500
Te 0.233 0.218 0.297

Results
Final energy, eV/atom: -3.759
Magnetic moment, μB/f.u.: 0.0
Formation energy without anion corrections, meV per atom: -477

Record 2
Entry from Alexandria: a relaxed structure of Sc2BeAl3 (GGA-PBE).

Lattice parameters (Å, degrees): 3.288 4.321 15.179 90.00 90.00 90.00
Space group Imm2 (No. 44)
Unique sites:
Sc 0.000 0.000 0.000
Sc 0.000 0.500 0.275
Be 0.000 0.000 0.450
Al 0.000 0.000 0.598
Al 0.000 0.500 0.683
Al 0.000 0.500 0.849

Results
ΔE_f, kJ/mol of formula units: -149
Final energy, eV/atom: -4.860
Magnetic moment, μB/f.u.: 0.0

Record 3
Entry from Alexandria: a relaxed structure of SmSn3Pd5 (GGA-PBE).

Lattice parameters (Å, degrees): 3.946 14.305 13.550 90.00 90.00 90.00
Space group Cmcm (No. 63)
Unique sites:
Sm 0.000 0.092 0.250
Sn 0.000 0.143 0.750
Sn 0.000 0.378 0.548
Pd 0.000 0.000 0.000
Pd 0.000 0.196 0.564
Pd 0.000 0.452 0.147

Results
ΔE_f, kJ/mol of formula units: -492
Final energy, eV/atom: -5.310
Magnetic moment, μB/f.u.: 0.0

Record 4
Entry from Alexandria: a relaxed structure of DyErTcPt (GGA-PBE).

Lattice parameters (Å, degrees): 6.859 6.859 6.859 90.00 90.00 90.00
Space group F-43m (No. 216)
Unique sites:
Dy 0.000 0.000 0.000
Er 0.000 0.000 0.500
Tc 0.250 0.250 0.750
Pt 0.250 0.250 0.250

Results
ΔE_f, kJ/mol of formula units: -220
Final energy, eV/atom: -6.964
Magnetic moment, μB/f.u.: 0.0

Record 5
Entry from Alexandria: a relaxed structure of TlAgSbBr5 (GGA-PBE).

Lattice parameters (Å, degrees): 9.257 12.996 10.693 90.00 112.37 90.00
Space group C2/c (No. 15)
Unique sites:
Tl 0.000 0.144 0.250
Ag 0.000 0.194 0.750
Sb 0.000 0.500 0.000
Br 0.000 0.423 0.250
Br 0.113 0.300 0.593
Br 0.186 0.060 0.940

Results
Final energy, eV/atom: -2.804
Magnetic moment, μB/f.u.: 0.0
Formation energy without anion corrections, meV per atom: -591

Record 6
Entry from Alexandria: a relaxed structure of AcTlCu2F8 (GGA-PBE).

Lattice parameters (Å, degrees): 5.9952 5.9952 8.1886 90.00 90.00 120.00
Space group P-3m1 (No. 164)
Unique sites:
Ac 0.0000 0.0000 0.0000
Tl 0.0000 0.0000 0.5000
Cu 0.3333 0.6667 0.6807
F 0.1717 0.3434 0.8033
F 0.3333 0.6667 0.4559

Results
Final energy, eV/atom: -4.737
Magnetic moment, μB/f.u.: 2.0
Formation energy without anion corrections, meV per atom: -2267

Record 7
Entry from Alexandria: a relaxed structure of SmYNiIr (GGA-PBE).

Lattice parameters (Å, degrees): 4.117 3.931 10.695 90.00 90.00 90.00
Space group Amm2 (No. 38)
Unique sites:
Sm 0.000 0.000 0.000
Y 0.500 0.000 0.715
Ni 0.500 0.000 0.430
Ir 0.000 0.000 0.281

Results
ΔE_f, kJ/mol of formula units: -231
Final energy, eV/atom: -7.054
Magnetic moment, μB/f.u.: 0.0

Record 8
Entry from Alexandria: a relaxed structure of Zr4CrSb (GGA-PBE).

Lattice parameters (Å, degrees): 8.146 8.146 8.146 90.00 90.00 90.00
Space group F-43m (No. 216)
Unique sites:
Zr 0.124 0.124 0.124
Cr 0.250 0.250 0.750
Sb 0.000 0.000 0.500

Results
Final energy, eV/atom: -7.593
Magnetic moment, μB/f.u.: 3.8
Formation energy without anion corrections, meV per atom: 397

Record 9
Entry from Alexandria: a relaxed structure of KSi2PH (GGA-PBE).

Lattice parameters (Å, degrees): 4.521 4.521 6.628 90.00 90.00 90.00
Space group P4/mmm (No. 123)
Unique sites:
K 0.000 0.000 0.000
Si 0.000 0.500 0.500
P 0.000 0.000 0.500
H 0.500 0.500 0.000

Results
Final energy, eV/atom: -3.348
Magnetic moment, μB/f.u.: 0.0

Record 10
Entry from Alexandria: a relaxed structure of RbPHRuC (GGA-PBE).

Lattice parameters (Å, degrees): 13.423 3.673 3.079 90.00 93.06 90.00
Space group Cm (No. 8)
Unique sites:
Rb 0.000 0.000 0.000
P 0.274 0.000 0.951
H 0.108 0.500 0.528
Ru 0.232 0.500 0.547
C 0.346 0.000 0.455

Results
Final energy, eV/atom: -5.369
Distance to the lowest polymorph of the same formula, meV per atom: 137
Magnetic moment, μB/f.u.: 0.0

Record 11
Entry from Alexandria: a relaxed structure of Li2TiMnS4 (GGA-PBE).

Lattice parameters (Å, degrees): 6.250 3.517 6.363 90.00 109.28 90.00
Space group P2/m (No. 10)
Unique sites:
Li 0.000 0.000 0.000
Li 0.500 0.500 0.000
Ti 0.000 0.500 0.500
Mn 0.500 0.000 0.500
S 0.237 0.000 0.736
S 0.253 0.500 0.272

Results
Final energy, eV/atom: -5.820
Magnetic moment, μB/f.u.: 4.8
Formation energy without anion corrections, meV per atom: -1144

Record 12
Entry from Alexandria: a relaxed structure of ErTmAg (GGA-PBE).

Lattice parameters (Å, degrees): 9.940 9.952 14.008 90.00 90.00 90.00
Space group Fddd (No. 70, origin choice 2)
Unique sites:
Er 0.125 0.125 0.000
Tm 0.125 0.125 0.500
Ag 0.124 0.375 0.875

Results
ΔE_f, kJ/mol of formula units: 9
Final energy, eV/atom: -3.933
Distance to the lowest polymorph of the same formula, meV per atom: 211
Magnetic moment, μB/f.u.: 0.0

Number 2 is which compound?
Sc2BeAl3

Please write out number 5 again, unchanged.
Entry from Alexandria: a relaxed structure of TlAgSbBr5 (GGA-PBE).

Lattice parameters (Å, degrees): 9.257 12.996 10.693 90.00 112.37 90.00
Space group C2/c (No. 15)
Unique sites:
Tl 0.000 0.144 0.250
Ag 0.000 0.194 0.750
Sb 0.000 0.500 0.000
Br 0.000 0.423 0.250
Br 0.113 0.300 0.593
Br 0.186 0.060 0.940

Results
Final energy, eV/atom: -2.804
Magnetic moment, μB/f.u.: 0.0
Formation energy without anion corrections, meV per atom: -591